i.
The following is a DFT calculation (PBE) of a geometry-optimized KReNi2 structure.

a b c (Å): 4.4736 4.4736 6.8644
angles (deg): 95.32 95.32 34.51
Fractional coordinates of all 4 atoms:
K1 0.0000 0.0000 0.0000
Re1 0.2208 0.2208 0.6077
Ni1 0.4867 0.4867 0.4989
Ni2 0.7697 0.7697 0.3260


ii.
The following is a DFT calculation (PBE) of a geometry-optimized KReNi2 structure.

a b c (Å): 2.8226 2.8226 8.4439
angles (deg): 90.00 90.00 90.00
Fractional coordinates of all 4 atoms:
K1 0.0000 0.0000 0.0000
Re1 0.0000 0.0000 0.5000
Ni1 0.5000 0.5000 0.3133
Ni2 0.5000 0.5000 0.6867


iii.
The following is a DFT calculation (PBE) of a geometry-optimized KReNi2 structure.

a b c (Å): 5.2874 5.2874 5.2874
angles (deg): 138.45 138.45 60.22
Fractional coordinates of all 4 atoms:
K1 0.0000 0.0000 0.0000
Re1 0.7500 0.2500 0.5000
Ni1 0.2500 0.7500 0.5000
Ni2 0.5000 0.5000 0.0000


iv.
The following is a DFT calculation (PBE) of a geometry-optimized KReNi2 structure.

a b c (Å): 4.2937 4.2937 7.0504
angles (deg): 93.53 93.53 35.65
Fractional coordinates of all 4 atoms:
K1 0.0000 0.0000 0.0000
Re1 0.5000 0.5000 0.5000
Ni1 0.2409 0.2409 0.6481
Ni2 0.7591 0.7591 0.3519


Stability check: which of them is least stable? iii.


i.
The following is a DFT calculation (PBE) of a geometry-optimized KReNi3 structure.

a b c (Å): 4.6568 4.6568 4.6568
angles (deg): 90.00 90.00 90.00
Fractional coordinates of all 5 atoms:
K1 0.0000 0.0000 0.0000
Re1 0.5000 0.5000 0.5000
Ni1 0.0000 0.5000 0.5000
Ni2 0.5000 0.0000 0.5000
Ni3 0.5000 0.5000 0.0000


ii.
The following is a DFT calculation (PBE) of a geometry-optimized KReNi3 structure.

a b c (Å): 4.3790 4.3790 4.3790
angles (deg): 90.00 90.00 90.00
Fractional coordinates of all 5 atoms:
K1 0.0000 0.0000 0.0000
Re1 0.5000 0.5000 0.5000
Ni1 0.0000 0.0000 0.5000
Ni2 0.0000 0.5000 0.0000
Ni3 0.5000 0.0000 0.0000


Stability check: which of them is least stable? ii.


i.
The following is a DFT calculation (PBE) of a geometry-optimized KReSiNi2 structure.

a b c (Å): 4.2057 4.2057 5.4156
angles (deg): 90.00 90.00 90.00
Fractional coordinates of all 5 atoms:
K1 0.0000 0.0000 0.0000
Re1 0.0000 0.0000 0.5000
Si1 0.5000 0.5000 0.5000
Ni1 0.0000 0.5000 0.0000
Ni2 0.5000 0.0000 0.0000


ii.
The following is a DFT calculation (PBE) of a geometry-optimized KReSiNi2 structure.

a b c (Å): 4.4852 4.4852 4.5922
angles (deg): 90.00 90.00 90.00
Fractional coordinates of all 5 atoms:
K1 0.0000 0.0000 0.0000
Re1 0.5000 0.5000 0.0000
Si1 0.5000 0.5000 0.5000
Ni1 0.0000 0.5000 0.5000
Ni2 0.5000 0.0000 0.5000


Stability check: which of them is least stable? i.


i.
The following is a DFT calculation (PBE) of a geometry-optimized KNiRh2 structure.

a b c (Å): 4.5317 4.5317 6.6961
angles (deg): 95.41 95.41 35.40
Fractional coordinates of all 4 atoms:
K1 0.0000 0.0000 0.0000
Ni1 0.2342 0.2342 0.6552
Rh1 0.5043 0.5043 0.5060
Rh2 0.7666 0.7666 0.3563


ii.
The following is a DFT calculation (PBE) of a geometry-optimized KNiRh2 structure.

a b c (Å): 9.8068 9.8068 9.8068
angles (deg): 16.48 16.48 16.48
Fractional coordinates of all 4 atoms:
K1 0.0000 0.0000 0.0000
Ni1 0.5000 0.5000 0.5000
Rh1 0.2357 0.2357 0.2357
Rh2 0.7643 0.7643 0.7643


Stability check: which of them is least stable? ii.


i.
The following is a DFT calculation (PBE) of a geometry-optimized KNiRh2 structure.

a b c (Å): 5.8645 5.8645 5.8645
angles (deg): 153.15 128.05 59.44
Fractional coordinates of all 4 atoms:
K1 0.0000 0.0000 0.0000
Ni1 0.2816 0.7816 0.5000
Rh1 0.4899 0.4899 0.0000
Rh2 0.7102 0.2102 0.5000


ii.
The following is a DFT calculation (PBE) of a geometry-optimized KNiRh2 structure.

a b c (Å): 8.9628 8.9628 8.9628
angles (deg): 149.25 149.25 44.05
Fractional coordinates of all 8 atoms:
K1 0.0000 0.0000 0.0000
K2 0.7500 0.2500 0.5000
Ni1 0.2500 0.7500 0.5000
Ni2 0.5000 0.5000 0.0000
Rh1 0.2920 0.6250 0.1670
Rh2 0.3750 0.5420 0.6670
Rh3 0.4580 0.1250 0.8330
Rh4 0.8750 0.7080 0.3330


iii.
The following is a DFT calculation (PBE) of a geometry-optimized KNiRh2 structure.

a b c (Å): 2.7316 4.2208 6.9418
angles (deg): 90.00 101.20 90.00
Fractional coordinates of all 4 atoms:
K1 0.0000 0.0000 0.0000
Ni1 0.6502 0.5000 0.3192
Rh1 0.3058 0.5000 0.6313
Rh2 0.7475 0.0000 0.5130


iv.
The following is a DFT calculation (PBE) of a geometry-optimized KNiRh2 structure.

a b c (Å): 2.8162 2.8162 8.6143
angles (deg): 90.00 90.00 90.00
Fractional coordinates of all 4 atoms:
K1 0.0000 0.0000 0.0000
Ni1 0.0000 0.0000 0.5000
Rh1 0.5000 0.5000 0.3165
Rh2 0.5000 0.5000 0.6835


Stability check: which of them is least stable? ii.


i.
The following is a DFT calculation (PBE) of a geometry-optimized KNi2Rh structure.

a b c (Å): 4.8342 4.8342 4.8342
angles (deg): 130.32 130.32 72.90
Fractional coordinates of all 4 atoms:
K1 0.0000 0.0000 0.0000
Ni1 0.2500 0.7500 0.5000
Ni2 0.5000 0.5000 0.0000
Rh1 0.7500 0.2500 0.5000


ii.
The following is a DFT calculation (PBE) of a geometry-optimized KNi2Rh structure.

a b c (Å): 9.7157 9.7157 9.7157
angles (deg): 16.41 16.41 16.41
Fractional coordinates of all 4 atoms:
K1 0.0000 0.0000 0.0000
Ni1 0.2374 0.2374 0.2374
Ni2 0.7626 0.7626 0.7626
Rh1 0.5000 0.5000 0.5000


iii.
The following is a DFT calculation (PBE) of a geometry-optimized KNi2Rh structure.

a b c (Å): 2.8649 2.8649 8.1552
angles (deg): 90.00 90.00 90.00
Fractional coordinates of all 4 atoms:
K1 0.0000 0.0000 0.0000
Ni1 0.0000 0.0000 0.4845
Ni2 0.5000 0.5000 0.3243
Rh1 0.5000 0.5000 0.6738


iv.
The following is a DFT calculation (PBE) of a geometry-optimized KNi2Rh structure.

a b c (Å): 3.0622 3.0622 7.6153
angles (deg): 90.00 90.00 90.00
Fractional coordinates of all 4 atoms:
K1 0.0000 0.0000 0.0000
Ni1 0.5000 0.5000 0.3344
Ni2 0.5000 0.5000 0.6656
Rh1 0.0000 0.0000 0.5000


Stability check: which of them is least stable? i.


i.
The following is a DFT calculation (PBE) of a geometry-optimized KNiRh3 structure.

a b c (Å): 4.6494 4.6494 4.6494
angles (deg): 90.00 90.00 90.00
Fractional coordinates of all 5 atoms:
K1 0.0000 0.0000 0.0000
Ni1 0.5000 0.5000 0.5000
Rh1 0.0000 0.5000 0.5000
Rh2 0.5000 0.0000 0.5000
Rh3 0.5000 0.5000 0.0000


ii.
The following is a DFT calculation (PBE) of a geometry-optimized KNiRh3 structure.

a b c (Å): 4.6375 4.6375 4.6375
angles (deg): 90.00 90.00 90.00
Fractional coordinates of all 5 atoms:
K1 0.0000 0.0000 0.0000
Ni1 0.5000 0.5000 0.5000
Rh1 0.0000 0.0000 0.5000
Rh2 0.0000 0.5000 0.0000
Rh3 0.5000 0.0000 0.0000


Stability check: which of them is least stable? ii.


i.
The following is a DFT calculation (PBE) of a geometry-optimized KNiRh structure.

a b c (Å): 4.8133 4.8133 2.7604
angles (deg): 90.00 90.00 120.00
Fractional coordinates of all 3 atoms:
K1 0.0000 0.0000 0.0000
Ni1 0.6667 0.3333 0.5000
Rh1 0.3333 0.6667 0.5000


ii.
The following is a DFT calculation (PBE) of a geometry-optimized KNiRh structure.

a b c (Å): 4.4915 4.4915 4.4915
angles (deg): 60.00 60.00 60.00
Fractional coordinates of all 3 atoms:
K1 0.0000 0.0000 0.0000
Ni1 0.2500 0.2500 0.2500
Rh1 0.5000 0.5000 0.5000


Stability check: which of them is least stable? ii.


i.
The following is a DFT calculation (PBE) of a geometry-optimized KNiRh structure.

a b c (Å): 6.2550 6.2550 6.2550
angles (deg): 154.71 143.70 44.76
Fractional coordinates of all 3 atoms:
K1 0.0000 0.0000 0.0000
Ni1 0.7237 0.7237 0.0000
Rh1 0.2777 0.2777 0.0000


ii.
The following is a DFT calculation (PBE) of a geometry-optimized KNiRh structure.

a b c (Å): 4.5714 4.5714 4.5714
angles (deg): 60.00 60.00 60.00
Fractional coordinates of all 3 atoms:
K1 0.0000 0.0000 0.0000
Ni1 0.7500 0.7500 0.7500
Rh1 0.2500 0.2500 0.2500


Stability check: which of them is least stable? ii.


i.
The following is a DFT calculation (PBE) of a geometry-optimized KNiRu2 structure.

a b c (Å): 2.8139 2.8139 8.8095
angles (deg): 90.00 90.00 90.00
Fractional coordinates of all 4 atoms:
K1 0.0000 0.0000 0.0000
Ni1 0.5000 0.5000 0.3018
Ru1 0.0000 0.0000 0.4873
Ru2 0.5000 0.5000 0.6761


ii.
The following is a DFT calculation (PBE) of a geometry-optimized KNiRu2 structure.

a b c (Å): 2.7261 3.6406 7.6959
angles (deg): 90.00 90.00 90.00
Fractional coordinates of all 4 atoms:
K1 0.0000 0.0000 0.0000
Ni1 0.5000 0.5000 0.3212
Ru1 0.0000 0.0000 0.4884
Ru2 0.5000 0.5000 0.6441


Stability check: which of them is least stable? i.


i.
The following is a DFT calculation (PBE) of a geometry-optimized KNiRu2 structure.

a b c (Å): 2.7011 4.7950 5.0746
angles (deg): 90.00 90.00 90.00
Fractional coordinates of all 4 atoms:
K1 0.0000 0.0000 0.0000
Ni1 0.5000 0.5000 0.0000
Ru1 0.0000 0.5000 0.5000
Ru2 0.5000 0.0000 0.5000


ii.
The following is a DFT calculation (PBE) of a geometry-optimized KNiRu2 structure.

a b c (Å): 2.6819 4.2324 7.1355
angles (deg): 90.00 100.48 90.00
Fractional coordinates of all 4 atoms:
K1 0.0000 0.0000 0.0000
Ni1 0.5000 0.0000 0.5000
Ru1 0.2888 0.5000 0.6529
Ru2 0.7112 0.5000 0.3471


iii.
The following is a DFT calculation (PBE) of a geometry-optimized KNiRu2 structure.

a b c (Å): 4.4867 4.4867 4.4867
angles (deg): 60.00 60.00 60.00
Fractional coordinates of all 4 atoms:
K1 0.0000 0.0000 0.0000
Ni1 0.7500 0.7500 0.7500
Ru1 0.2500 0.2500 0.2500
Ru2 0.5000 0.5000 0.5000


iv.
The following is a DFT calculation (PBE) of a geometry-optimized KNiRu2 structure.

a b c (Å): 10.0208 10.0208 10.0208
angles (deg): 15.72 15.72 15.72
Fractional coordinates of all 4 atoms:
K1 0.0000 0.0000 0.0000
Ni1 0.5000 0.5000 0.5000
Ru1 0.2345 0.2345 0.2345
Ru2 0.7655 0.7655 0.7655


Stability check: which of them is least stable? iii.